(1)
{
  "formula": "ZrFeCu2",
  "functional": "GGA-PBE",
  "state": "relaxed",
  "magmom_total_mub_per_cell": 2.1,
  "space_group": "Pmm2 (25)",
  "e_form_ev_per_atom": 0.04,
  "final_energy_ha_per_atom": -0.2302,
  "lattice_angstrom": [[2.932, 0.000, 0.000], [0.000, 3.396, 0.000], [0.000, 0.000, 5.889]],
  "species": ["Zr", "Fe", "Cu", "Cu"],
  "frac_coords": [[0.000, 0.000, 0.000], [0.500, 0.500, 0.723], [0.000, 0.000, 0.504], [0.500, 0.500, 0.296]]
}


(2)
{
  "formula": "Zr2FeCu",
  "functional": "GGA-PBE",
  "state": "relaxed",
  "magmom_total_mub_per_cell": 0.6,
  "space_group": "R-3m (166)",
  "e_form_ev_per_atom": 0.12,
  "final_energy_ha_per_atom": -0.2680,
  "lattice_angstrom": [[3.312, 0.000, 0.000], [-1.656, 2.868, 0.000], [0.000, 0.000, 22.775]],
  "species": ["Zr", "Zr", "Zr", "Zr", "Zr", "Zr", "Fe", "Fe", "Fe", "Cu", "Cu", "Cu"],
  "frac_coords": [[0.000, 0.000, 0.244], [0.000, 0.000, 0.756], [0.333, 0.667, 0.423], [0.333, 0.667, 0.910], [0.667, 0.333, 0.090], [0.667, 0.333, 0.577], [0.000, 0.000, 0.500], [0.333, 0.667, 0.167], [0.667, 0.333, 0.833], [0.000, 0.000, 0.000], [0.333, 0.667, 0.667], [0.667, 0.333, 0.333]]
}


(3)
{
  "formula": "Zr2FeCu",
  "functional": "GGA-PBE",
  "state": "relaxed",
  "magmom_total_mub_per_cell": 1.8,
  "space_group": "P4mm (99)",
  "e_form_ev_per_atom": 0.02,
  "final_energy_ha_per_atom": -0.2718,
  "lattice_angstrom": [[3.310, 0.000, 0.000], [0.000, 3.310, 0.000], [0.000, 0.000, 6.329]],
  "species": ["Zr", "Zr", "Fe", "Cu"],
  "frac_coords": [[0.000, 0.000, 0.000], [0.500, 0.500, 0.322], [0.500, 0.500, 0.772], [0.000, 0.000, 0.565]]
}


(4)
{
  "formula": "Zr3Fe8Cu",
  "functional": "GGA-PBE",
  "state": "relaxed",
  "magmom_total_mub_per_cell": 12.7,
  "space_group": "R3m (160)",
  "e_form_ev_per_atom": -0.18,
  "final_energy_ha_per_atom": -0.3051,
  "lattice_angstrom": [[2.450, 1.415, 7.994], [-2.450, 1.415, 7.994], [0.000, -2.829, 7.994]],
  "species": ["Zr", "Zr", "Zr", "Fe", "Fe", "Fe", "Fe", "Fe", "Fe", "Fe", "Fe", "Cu"],
  "frac_coords": [[0.000, 0.000, 0.000], [0.128, 0.128, 0.128], [0.511, 0.511, 0.511], [0.065, 0.566, 0.566], [0.069, 0.069, 0.565], [0.069, 0.565, 0.069], [0.317, 0.317, 0.317], [0.565, 0.069, 0.069], [0.566, 0.065, 0.566], [0.566, 0.566, 0.065], [0.817, 0.817, 0.817], [0.632, 0.632, 0.632]]
}


(5)
{
  "formula": "Zr3FeCu",
  "functional": "GGA-PBE",
  "state": "relaxed",
  "magmom_total_mub_per_cell": 0.0,
  "space_group": "Pm-3m (221)",
  "e_form_ev_per_atom": 0.41,
  "final_energy_ha_per_atom": -0.2657,
  "lattice_angstrom": [[4.784, 0.000, 0.000], [0.000, 4.784, 0.000], [0.000, 0.000, 4.784]],
  "species": ["Zr", "Zr", "Zr", "Fe", "Cu"],
  "frac_coords": [[0.000, 0.000, 0.500], [0.000, 0.500, 0.000], [0.500, 0.000, 0.000], [0.000, 0.000, 0.000], [0.500, 0.500, 0.500]]
}


(6)
{
  "formula": "Zr2FeCu",
  "functional": "GGA-PBE",
  "state": "relaxed",
  "magmom_total_mub_per_cell": 0.0,
  "space_group": "Pm (6)",
  "e_form_ev_per_atom": -0.13,
  "final_energy_ha_per_atom": -0.2773,
  "lattice_angstrom": [[3.235, 0.000, 0.000], [0.000, 4.264, 0.000], [-1.030, 0.000, 4.937]],
  "species": ["Zr", "Zr", "Fe", "Cu"],
  "frac_coords": [[0.000, 0.000, 0.000], [0.202, 0.500, 0.558], [0.658, 0.000, 0.447], [0.545, 0.500, 0.111]]
}


(7)
{
  "formula": "Zr3Fe2Cu",
  "functional": "GGA-PBE",
  "state": "relaxed",
  "magmom_total_mub_per_cell": 0.0,
  "space_group": "Cmmm (65)",
  "e_form_ev_per_atom": -0.15,
  "final_energy_ha_per_atom": -0.2914,
  "lattice_angstrom": [[4.586, 0.000, 0.000], [0.000, 13.645, 0.000], [0.000, 0.000, 3.162]],
  "species": ["Zr", "Zr", "Zr", "Zr", "Zr", "Zr", "Fe", "Fe", "Fe", "Fe", "Cu", "Cu"],
  "frac_coords": [[0.000, 0.000, 0.000], [0.000, 0.330, 0.000], [0.000, 0.670, 0.000], [0.500, 0.170, 0.000], [0.500, 0.500, 0.000], [0.500, 0.830, 0.000], [0.000, 0.167, 0.500], [0.000, 0.833, 0.500], [0.500, 0.333, 0.500], [0.500, 0.667, 0.500], [0.000, 0.500, 0.500], [0.500, 0.000, 0.500]]
}


(8)
{
  "formula": "ZrFeCu2",
  "functional": "GGA-PBE",
  "state": "relaxed",
  "magmom_total_mub_per_cell": 2.0,
  "space_group": "I-42d (122)",
  "e_form_ev_per_atom": 0.32,
  "final_energy_ha_per_atom": -0.2198,
  "lattice_angstrom": [[3.573, 0.000, 0.000], [0.000, 3.573, 0.000], [0.000, 0.000, 18.905]],
  "species": ["Zr", "Zr", "Zr", "Zr", "Fe", "Fe", "Fe", "Fe", "Cu", "Cu", "Cu", "Cu", "Cu", "Cu", "Cu", "Cu"],
  "frac_coords": [[0.000, 0.000, 0.000], [0.000, 0.500, 0.250], [0.500, 0.000, 0.750], [0.500, 0.500, 0.500], [0.000, 0.000, 0.500], [0.000, 0.500, 0.750], [0.500, 0.000, 0.250], [0.500, 0.500, 0.000], [0.222, 0.250, 0.625], [0.250, 0.722, 0.875], [0.250, 0.778, 0.375], [0.278, 0.250, 0.125], [0.722, 0.750, 0.125], [0.750, 0.222, 0.375], [0.750, 0.278, 0.875], [0.778, 0.750, 0.625]]
}


(9)
{
  "formula": "Zr3FeCu",
  "functional": "GGA-PBE",
  "state": "relaxed",
  "magmom_total_mub_per_cell": 0.0,
  "space_group": "C2/m (12)",
  "e_form_ev_per_atom": -0.10,
  "final_energy_ha_per_atom": -0.2844,
  "lattice_angstrom": [[4.516, -2.856, 0.000], [4.516, 2.856, 0.000], [-4.140, 0.000, 7.265]],
  "species": ["Zr", "Zr", "Zr", "Zr", "Zr", "Zr", "Fe", "Fe", "Cu", "Cu"],
  "frac_coords": [[0.041, 0.041, 0.268], [0.298, 0.298, 0.710], [0.303, 0.303, 0.117], [0.697, 0.697, 0.883], [0.702, 0.702, 0.290], [0.959, 0.959, 0.732], [0.256, 0.744, 0.000], [0.744, 0.256, 0.000], [0.296, 0.704, 0.500], [0.704, 0.296, 0.500]]
}


(10)
{
  "formula": "ZrFe2Cu",
  "functional": "GGA-PBE",
  "state": "relaxed",
  "magmom_total_mub_per_cell": 3.2,
  "space_group": "P4/mmm (123)",
  "e_form_ev_per_atom": 0.08,
  "final_energy_ha_per_atom": -0.2685,
  "lattice_angstrom": [[3.196, 0.000, 0.000], [0.000, 3.196, 0.000], [0.000, 0.000, 5.578]],
  "species": ["Zr", "Fe", "Fe", "Cu"],
  "frac_coords": [[0.000, 0.000, 0.000], [0.500, 0.500, 0.284], [0.500, 0.500, 0.716], [0.000, 0.000, 0.500]]
}


(11)
{
  "formula": "ZrFeCu2",
  "functional": "GGA-PBE",
  "state": "relaxed",
  "magmom_total_mub_per_cell": 1.2,
  "space_group": "Immm (71)",
  "e_form_ev_per_atom": -0.02,
  "final_energy_ha_per_atom": -0.2325,
  "lattice_angstrom": [[3.639, 0.000, 0.000], [0.000, 3.654, 0.000], [0.000, 0.000, 8.411]],
  "species": ["Zr", "Zr", "Fe", "Fe", "Cu", "Cu", "Cu", "Cu"],
  "frac_coords": [[0.000, 0.000, 0.000], [0.500, 0.500, 0.500], [0.000, 0.000, 0.500], [0.500, 0.500, 0.000], [0.000, 0.500, 0.250], [0.000, 0.500, 0.750], [0.500, 0.000, 0.250], [0.500, 0.000, 0.750]]
}


(12)
{
  "formula": "ZrFe2Cu",
  "functional": "GGA-PBE",
  "state": "relaxed",
  "magmom_total_mub_per_cell": 14.5,
  "space_group": "R-3m (166)",
  "e_form_ev_per_atom": 0.39,
  "final_energy_ha_per_atom": -0.2572,
  "lattice_angstrom": [[2.736, 0.000, 0.000], [-1.368, 2.369, 0.000], [0.000, 0.000, 27.202]],
  "species": ["Zr", "Zr", "Zr", "Fe", "Fe", "Fe", "Fe", "Fe", "Fe", "Cu", "Cu", "Cu"],
  "frac_coords": [[0.000, 0.000, 0.000], [0.333, 0.667, 0.667], [0.667, 0.333, 0.333], [0.000, 0.000, 0.242], [0.000, 0.000, 0.758], [0.333, 0.667, 0.425], [0.333, 0.667, 0.909], [0.667, 0.333, 0.091], [0.667, 0.333, 0.575], [0.000, 0.000, 0.500], [0.333, 0.667, 0.167], [0.667, 0.333, 0.833]]
}


Please write out number 4 again, unchanged.
{
  "formula": "Zr3Fe8Cu",
  "functional": "GGA-PBE",
  "state": "relaxed",
  "magmom_total_mub_per_cell": 12.7,
  "space_group": "R3m (160)",
  "e_form_ev_per_atom": -0.18,
  "final_energy_ha_per_atom": -0.3051,
  "lattice_angstrom": [[2.450, 1.415, 7.994], [-2.450, 1.415, 7.994], [0.000, -2.829, 7.994]],
  "species": ["Zr", "Zr", "Zr", "Fe", "Fe", "Fe", "Fe", "Fe", "Fe", "Fe", "Fe", "Cu"],
  "frac_coords": [[0.000, 0.000, 0.000], [0.128, 0.128, 0.128], [0.511, 0.511, 0.511], [0.065, 0.566, 0.566], [0.069, 0.069, 0.565], [0.069, 0.565, 0.069], [0.317, 0.317, 0.317], [0.565, 0.069, 0.069], [0.566, 0.065, 0.566], [0.566, 0.566, 0.065], [0.817, 0.817, 0.817], [0.632, 0.632, 0.632]]
}